1.
DFT (PBE) results for an optimized crystal structure of Zr2FeTc.

The volume is 145.8 Å³/cell. As for the space-group type: No. 122. For the formation energy, the calculation gives 340 meV/atom. Its calculated density is 7.66 g/cm³.

Lattice parameters (Å, degrees): 7.1175 7.1175 5.7973 52.13 52.13 90.00
Last column: nearest neighbours and their distance in Å.
Atoms (fractional coordinates):
Tc  0.0000  0.0000  0.0000  4 Zr 2.67, 2 Fe 2.88
Tc  0.7500  0.2500  0.5000  4 Zr 2.67, 2 Fe 2.88
Zr  0.6151  0.1250  0.2500  2 Fe 2.57, 2 Tc 2.67
Zr  0.1349  0.6250  0.2500  2 Fe 2.57, 2 Tc 2.67
Zr  0.3750  0.3849  0.7500  2 Fe 2.57, 2 Tc 2.67
Zr  0.8750  0.8651  0.7500  2 Fe 2.57, 2 Tc 2.67
Fe  0.5000  0.5000  0.0000  4 Zr 2.57, 2 Tc 2.88
Fe  0.2500  0.7500  0.5000  4 Zr 2.57, 2 Tc 2.88



2.
DFT (PBE) results for an optimized crystal structure of ZrFeTc2.

The volume is 62.4 Å³/cell. As for the space-group type: No. 10. For the formation energy, the calculation gives 83 meV/atom. For the offset from the most stable computed form, the calculation gives 45 kJ/mol of formula units. Its calculated density is 9.13 g/cm³.

Lattice parameters (Å, degrees): 4.4353 2.7940 5.0838 81.99 90.00 90.00
Last column: nearest neighbours and their distance in Å.
Atoms (fractional coordinates):
Fe  0.5000  0.7500  0.7500  4 Tc 2.66, 2 Zr 2.72, 2 Fe 2.79
Tc  0.0000  0.9860  0.9890  2 Fe 2.66, 5 Tc 2.66-2.92, 2 Zr 2.74
Tc  0.0000  0.5140  0.5110  2 Fe 2.66, 5 Tc 2.66-2.92, 2 Zr 2.74
Zr  0.5000  0.2500  0.2500  2 Fe 2.72, 4 Tc 2.74, 2 Zr 2.79



3.
DFT (PBE) results for an optimized crystal structure of ZrFe9Tc2.

The volume is 151.5 Å³/cell. As for the space-group type: No. 166. For the formation energy, the calculation gives -7 meV/atom. Its calculated density is 8.66 g/cm³.

Lattice parameters (Å, degrees): 4.7368 4.7368 8.2622 73.34 73.34 60.00
Last column: nearest neighbours and their distance in Å.
Atoms (fractional coordinates):
Zr  0.0000  0.0000  0.0000  6 Fe 2.73
Fe  0.6669  0.6669  0.9994  6 Fe 2.44-2.46
Fe  0.3331  0.3331  0.0006  6 Fe 2.44-2.46
Fe  0.5000  0.5000  0.5000  6 Fe 2.32
Fe  0.4114  0.4114  0.2606  7 Fe 2.32-2.46
Fe  0.9166  0.4114  0.2606  7 Fe 2.32-2.46
Fe  0.4114  0.9166  0.2606  7 Fe 2.32-2.46
Fe  0.5886  0.5886  0.7394  7 Fe 2.32-2.46
Fe  0.5886  0.0834  0.7394  7 Fe 2.32-2.46
Fe  0.0834  0.5886  0.7394  7 Fe 2.32-2.46
Tc  0.8525  0.8525  0.4425  12 Fe 2.68-2.77, 3 Tc 2.88
Tc  0.1475  0.1475  0.5575  12 Fe 2.68-2.77, 3 Tc 2.88



4.
DFT (PBE) results for an optimized crystal structure of ZrFeTc2.

The volume is 62.0 Å³/cell. As for the space-group type: No. 216. For the formation energy, the calculation gives -33 meV/atom. For the offset from the most stable computed form, the calculation gives 0 kJ/mol of formula units. Its calculated density is 9.19 g/cm³.

Lattice parameters (Å, degrees): 4.4416 4.4416 4.4416 60.00 60.00 60.00
Last column: nearest neighbours and their distance in Å.
Atoms (fractional coordinates):
Fe  0.5000  0.5000  0.5000  4 Zr 2.72, 4 Tc 2.72
Tc  0.0000  0.0000  0.0000  4 Tc 2.72, 4 Zr 2.72
Tc  0.2500  0.2500  0.2500  4 Fe 2.72, 4 Tc 2.72
Zr  0.7500  0.7500  0.7500  4 Tc 2.72, 4 Fe 2.72



5.
DFT (PBE) results for an optimized crystal structure of ZrFeTc2.

The volume is 61.4 Å³/cell. As for the space-group type: No. 123. For the formation energy, the calculation gives 130 meV/atom. For the offset from the most stable computed form, the calculation gives 63 kJ/mol of formula units. Its calculated density is 9.27 g/cm³.

Lattice parameters (Å, degrees): 2.7680 2.7680 8.0191 90.00 90.00 90.00
Last column: nearest neighbours and their distance in Å.
Atoms (fractional coordinates):
Fe  0.5000  0.5000  0.7500  8 Tc 2.57, 4 Fe 2.77
Tc  0.0000  0.0000  0.9584  4 Fe 2.57, 4 Tc 2.77
Tc  0.0000  0.0000  0.5416  4 Fe 2.57, 4 Tc 2.77
Zr  0.5000  0.5000  0.2500  4 Zr 2.77, 8 Tc 3.05



6.
DFT (PBE) results for an optimized crystal structure of ZrFeTc2.

The volume is 62.1 Å³/cell. As for the space-group type: No. 166. For the formation energy, the calculation gives 286 meV/atom. For the offset from the most stable computed form, the calculation gives 123 kJ/mol of formula units. Its calculated density is 9.18 g/cm³.

Lattice parameters (Å, degrees): 9.4111 9.4111 9.4111 16.99 16.99 16.99
Last column: nearest neighbours and their distance in Å.
Atoms (fractional coordinates):
Fe  0.7500  0.7500  0.7500  6 Tc 2.58, 6 Fe 2.78
Tc  0.0105  0.0105  0.0105  3 Fe 2.58, 6 Tc 2.78
Tc  0.4895  0.4895  0.4895  3 Fe 2.58, 6 Tc 2.78
Zr  0.2500  0.2500  0.2500  6 Zr 2.78, 6 Tc 3.06



7.
DFT (PBE) results for an optimized crystal structure of Zr2FeTc.

The volume is 72.0 Å³/cell. As for the space-group type: No. 160. For the formation energy, the calculation gives 270 meV/atom. Its calculated density is 7.76 g/cm³.

Lattice parameters (Å, degrees): 9.5133 9.5133 9.5133 18.02 18.02 18.02
Last column: nearest neighbours and their distance in Å.
Atoms (fractional coordinates):
Fe  0.4925  0.4925  0.4925  3 Tc 2.53
Tc  0.7597  0.7597  0.7597  3 Fe 2.53
Zr  0.0067  0.0067  0.0067  3 Tc 2.97, 9 Zr 2.98-3.27
Zr  0.2410  0.2410  0.2410  3 Fe 2.87, 6 Zr 2.98



8.
DFT (PBE) results for an optimized crystal structure of Zr2FeTc3.

The volume is 100.3 Å³/cell. As for the space-group type: No. 166. For the formation energy, the calculation gives -295 meV/atom. Its calculated density is 8.81 g/cm³.

Lattice parameters (Å, degrees): 5.2054 5.2054 5.2241 90.04 119.82 120.02
Last column: nearest neighbours and their distance in Å.
Atoms (fractional coordinates):
Zr  0.7517  0.3760  0.1277  9 Tc 3.05-3.08, 3 Fe 3.05, 4 Zr 3.18-3.20
Zr  0.2483  0.6240  0.8723  9 Tc 3.05-3.08, 3 Fe 3.05, 4 Zr 3.18-3.20
Fe  0.0000  0.0000  0.0000  6 Tc 2.61
Tc  0.5000  0.5000  0.5000  4 Tc 2.60, 2 Fe 2.61
Tc  0.0000  0.0000  0.5000  4 Tc 2.60, 2 Fe 2.61
Tc  0.5000  0.0000  0.5000  4 Tc 2.60, 2 Fe 2.61